# 1
Material: CrCuSe2
Method: DFT, PBE
State: relaxed

Properties
The space-group type is R-3m, No. 166. The calculation puts the uncorrected formation energy at -0.3119 eV per atom. The calculation puts the density of states at the Fermi level at 0.0 states/eV/f.u. Its polymorph energy (0 for the lowest one) is 0.057 eV per atom.

a b c (Å): 7.5289 7.5289 7.5289
angles (deg): 28.82 28.82 28.82
Closest atoms and distances in Å follow each position.
Fractional coordinates of all 4 atoms:
Cr  0.5000  0.5000  0.5000  6 Se 2.54
Cu  0.0000  0.0000  0.0000  2 Se 2.27
Se  0.8949  0.8949  0.8949  1 Cu 2.27, 3 Cr 2.54
Se  0.1051  0.1051  0.1051  1 Cu 2.27, 3 Cr 2.54

---

# 2
Material: AlSe
Method: DFT, PBE
State: relaxed

Properties
The space-group type is P6_3mc, No. 186. The calculation puts the uncorrected formation energy at -0.3156 eV per atom. The calculation puts the density of states at the Fermi level at 0.5 states/eV/f.u.

a b c (Å): 3.7856 3.7856 8.1639
angles (deg): 90.00 90.00 120.00
Closest atoms and distances in Å follow each position.
Fractional coordinates of all 4 atoms:
Al  0.3333  0.6667  0.3710  4 Se 2.55-2.78
Al  0.6667  0.3333  0.8710  4 Se 2.55-2.78
Se  0.3333  0.6667  0.7110  4 Al 2.55-2.78
Se  0.6667  0.3333  0.2110  4 Al 2.55-2.78

---

# 3
Material: NbV5H4
Method: DFT, PBE
State: relaxed

Properties
The space-group type is C2/m, No. 12. The calculation puts the density of states at the Fermi level at 5.4 states/eV/f.u. Its polymorph energy (0 for the lowest one) is 0.000 eV per atom.

a b c (Å): 3.0893 6.3074 5.3752
angles (deg): 107.51 106.70 90.00
Closest atoms and distances in Å follow each position.
Fractional coordinates of all 10 atoms:
Nb  0.5000  0.0000  0.0000  2 H 1.90
V  0.8218  0.6566  0.6437  1 H 1.78
V  0.8298  0.1826  0.6597  4 H 1.75-1.78
V  0.1702  0.8174  0.3403  4 H 1.75-1.78
V  0.5000  0.5000  0.0000  4 H 1.86
V  0.1782  0.3434  0.3563  1 H 1.78
H  0.3250  0.0403  0.6500  3 V 1.76-1.78, 1 Nb 1.90
H  0.9961  0.6625  0.9922  4 V 1.75-1.86
H  0.6750  0.9597  0.3500  3 V 1.76-1.78, 1 Nb 1.90
H  0.0039  0.3375  0.0078  4 V 1.75-1.86

---

# 4
Material: Co2RePt
Method: DFT, PBE
State: relaxed

Properties
The space-group type is Cmmm, No. 65. The calculation puts the density of states at the Fermi level at 5.4 states/eV/f.u. Its polymorph energy (0 for the lowest one) is 0.077 eV per atom.

a b c (Å): 4.5182 4.5182 2.6527
angles (deg): 90.00 90.00 107.40
Closest atoms and distances in Å follow each position.
Fractional coordinates of all 4 atoms:
Co  0.0000  0.0000  0.0000  4 Pt 2.62, 4 Re 2.62, 4 Co 2.65-2.67
Co  0.5000  0.5000  0.0000  4 Re 2.62, 4 Pt 2.62, 4 Co 2.65-2.67
Pt  0.5000  0.0000  0.5000  8 Co 2.62, 2 Pt 2.65, 2 Re 2.67
Re  0.0000  0.5000  0.5000  8 Co 2.62, 2 Re 2.65, 2 Pt 2.67

---

# 5
Material: MoOsCl3
Method: DFT, PBE
State: relaxed

Properties
The space-group type is Pm-3m, No. 221. The calculation puts the uncorrected formation energy at 1.1282 eV per atom. The calculation puts the density of states at the Fermi level at 7.9 states/eV/f.u. Its polymorph energy (0 for the lowest one) is 0.133 eV per atom.

a b c (Å): 5.0180 5.0180 5.0180
angles (deg): 90.00 90.00 90.00
Closest atoms and distances in Å follow each position.
Fractional coordinates of all 5 atoms:
Mo  0.0000  0.0000  0.0000  6 Cl 2.51
Os  0.5000  0.5000  0.5000  12 Cl 3.55
Cl  0.0000  0.5000  0.0000  2 Mo 2.51
Cl  0.0000  0.0000  0.5000  2 Mo 2.51
Cl  0.5000  0.0000  0.0000  2 Mo 2.51

---

# 6
Material: Tb5Pm4Y2
Method: DFT, PBE
State: relaxed

Properties
The space-group type is C2/m, No. 12. The calculation puts the density of states at the Fermi level at 18.7 states/eV/f.u. Its polymorph energy (0 for the lowest one) is 0.029 eV per atom.

a b c (Å): 3.4898 8.8078 12.1512
angles (deg): 97.32 98.25 90.00
Closest atoms and distances in Å follow each position.
Fractional coordinates of all 11 atoms:
Tb  0.1410  0.1150  0.2821  3 Pm 3.33-3.58, 1 Y 3.38, 5 Tb 3.49-3.55
Tb  0.8590  0.8850  0.7179  3 Pm 3.33-3.58, 1 Y 3.38, 5 Tb 3.49-3.55
Tb  0.2316  0.8263  0.4632  1 Y 3.39, 7 Tb 3.49-3.55, 3 Pm 3.60-3.68
Tb  0.5000  0.0000  0.0000  6 Tb 3.49-3.83, 4 Pm 3.65, 4 Y 3.79
Tb  0.7684  0.1737  0.5368  1 Y 3.39, 7 Tb 3.49-3.55, 3 Pm 3.60-3.68
Pm  0.6780  0.4689  0.3560  6 Pm 3.49-3.85, 5 Tb 3.58-3.68, 2 Y 3.80
Pm  0.0462  0.3586  0.0924  2 Y 3.28-3.38, 3 Tb 3.33-3.65, 5 Pm 3.49-3.64
Pm  0.3220  0.5311  0.6440  6 Pm 3.49-3.85, 5 Tb 3.58-3.68, 2 Y 3.80
Pm  0.9538  0.6414  0.9076  2 Y 3.28-3.38, 3 Tb 3.33-3.65, 5 Pm 3.49-3.64
Y  0.9097  0.2618  0.8193  2 Pm 3.28-3.38, 2 Tb 3.38-3.39, 2 Y 3.49
Y  0.0903  0.7382  0.1807  2 Pm 3.28-3.38, 2 Tb 3.38-3.39, 2 Y 3.49

---

Number 1: spin magnetization 3.000 μB per formula unit. Number 2: spin magnetization 0.000 μB per formula unit. Number 3: spin magnetization 0.000 μB per formula unit. Number 4: spin magnetization 1.661 μB per formula unit. Number 5: spin magnetization 7.936 μB per formula unit. Number 6: spin magnetization 0.000 μB per formula unit.